The following is a DFT calculation (PBE) of crystalline TaTe2HN at its relaxed geometry.

abc: 5.2474 5.2474 2.9037
angles: 90.00 90.00 90.00
Space group P4/mmm (No. 123)
Unique sites:
Ta 0.0000 0.0000 0.0000
Te 0.0000 0.5000 0.5000
H 0.5000 0.5000 0.5000
N 0.5000 0.5000 0.0000

## Properties
- energy above the lowest structure with this stoichiometry (eV/atom) = 0.510
- total magnetic moment (μB/f.u.) = 0.00
- crystal system = tetragonal
- V (Å³ per cell) = 80.0

***

The following is a DFT calculation (PBE) of crystalline TaTiHN2 at its relaxed geometry.

abc: 4.0524 4.0524 3.3842
angles: 90.00 90.00 90.00
Space group P4/mmm (No. 123)
Unique sites:
Ta 0.0000 0.0000 0.0000
Ti 0.5000 0.5000 0.5000
H 0.0000 0.0000 0.5000
N 0.0000 0.5000 0.0000

## Properties
- energy (eV per formula unit) = -41.21
- total magnetic moment (μB/f.u.) = 1.37
- crystal system = tetragonal
- V (Å³ per cell) = 55.6

***

The following is a DFT calculation (PBE) of crystalline Tb4H2N at its relaxed geometry.

abc: 4.8066 4.8066 11.2096
angles: 90.00 90.00 90.00
Space group I4/mmm (No. 139)
Unique sites:
Tb 0.0000 0.0000 0.2193
Tb 0.0000 0.5000 0.0000
H 0.0000 0.0000 0.4173
N 0.0000 0.0000 0.0000

## Properties
- energy (eV per formula unit) = -37.28
- total magnetic moment (μB/f.u.) = 0.00
- crystal system = tetragonal
- V (Å³ per cell) = 259.0

***

The following is a DFT calculation (PBE) of crystalline TbHN at its relaxed geometry.

abc: 7.0974 3.6703 5.1803
angles: 90.00 90.00 90.00
Space group Pnma (No. 62)
Unique sites:
Tb 0.1416 0.2500 0.2242
H 0.0157 0.2500 0.6308
N 0.1349 0.2500 0.7650

## Properties
- energy (eV per formula unit) = -18.65
- total magnetic moment (μB/f.u.) = 0.00
- crystal system = orthorhombic
- V (Å³ per cell) = 134.9